[1]
Th3Hg5S12, optimized geometry, DFT GGA-PBE; raw formation energy = -15.7 eV per formula unit; calculated volume = 2010.6 Å³/cell; theoretical density = 6.88 g/cm3
1.0
13.771 0.000 0.000
-4.590 12.984 0.000
-4.590 -6.492 11.244
Th Hg S
12 20 48
Cartesian
8.033 4.057 1.406
8.033 8.926 1.406
-1.148 5.680 7.028
1.148 -0.811 4.217
10.329 0.000 2.811
1.148 6.492 2.811
3.443 0.000 8.433
-5.738 6.492 8.433
3.443 7.303 7.028
5.738 0.811 4.217
-3.443 -2.434 9.839
-3.443 2.434 9.839
-1.148 3.246 2.811
-2.295 6.492 0.000
0.000 0.000 0.000
3.443 2.434 1.406
4.590 -3.246 5.622
4.590 6.492 0.000
-3.443 7.303 4.217
5.738 -4.057 9.839
5.738 5.680 4.217
1.148 -3.246 8.433
3.443 9.738 2.811
2.295 3.246 5.622
6.886 0.000 0.000
-2.295 -3.246 5.622
-1.148 0.811 7.028
-1.148 10.549 1.406
-4.590 3.246 5.622
8.033 -0.811 7.028
1.148 4.057 9.839
5.738 3.246 8.433
9.095 1.434 0.575
0.086 4.461 4.668
10.123 2.926 3.117
5.943 2.010 1.529
1.680 5.025 7.552
9.594 6.479 1.930
-0.942 7.409 4.646
-3.648 10.974 1.529
0.615 7.959 7.552
6.472 6.504 1.930
6.972 3.465 4.093
6.972 11.550 0.575
-3.975 5.806 6.198
2.708 4.827 0.976
-4.677 9.519 4.093
2.382 -2.031 6.576
-0.615 0.782 2.505
2.708 8.169 0.954
5.943 10.058 3.117
-0.413 4.814 0.954
-2.911 7.274 8.739
3.238 5.575 4.646
6.270 7.177 6.198
5.004 -1.665 10.269
1.353 0.917 6.598
-1.680 -0.685 5.047
-0.413 8.157 0.976
-1.353 -3.566 8.127
7.501 -0.782 2.505
5.004 1.677 10.290
1.882 -1.677 10.290
2.209 8.523 4.668
5.206 5.710 8.739
9.267 -3.027 7.152
8.565 0.685 5.047
-2.382 -5.058 10.669
1.882 1.665 10.269
3.975 -1.467 3.692
-1.882 -0.013 9.315
-2.382 3.027 7.152
8.239 -4.482 9.715
5.533 -0.917 6.598
-1.353 4.482 9.715
-5.004 0.013 9.315
2.911 1.467 3.692
-5.533 3.566 8.127
4.504 2.031 6.576
-4.504 5.058 10.669

[2]
Th4Hg2S, optimized geometry, DFT GGA-PBE; raw formation energy = -4.1 eV per formula unit; calculated volume = 199.6 Å³/cell; theoretical density = 11.33 g/cm3
1.0
-0.716 2.795 2.686
-6.783 0.208 0.869
-1.491 -4.182 6.847
Th Hg S
4 2 1
Cartesian
-2.127 -2.369 4.790
-6.864 1.189 5.611
-2.155 0.655 1.637
-6.835 -1.834 8.764
-5.147 -1.605 6.084
-3.844 0.426 4.318
0.000 0.000 0.000

[3]
ThHgS, optimized geometry, DFT GGA-PBE; raw formation energy = -3.2 eV per formula unit; calculated volume = 145.2 Å³/cell; theoretical density = 10.63 g/cm3
1.0
3.785 0.000 0.000
0.000 3.785 0.000
0.000 0.000 10.134
Hg Th S
2 2 2
Cartesian
0.000 1.893 5.902
1.893 0.000 4.232
0.000 1.893 2.007
1.893 0.000 8.127
1.893 0.000 0.972
0.000 1.893 9.162

[4]
Th2HgS, optimized geometry, DFT GGA-PBE; raw formation energy = -3.8 eV per formula unit; energy above the lowest structure with this stoichiometry = 0.000 eV per atom; calculated volume = 109.9 Å³/cell; theoretical density = 10.53 g/cm3
1.0
-1.850 -3.135 1.673
2.097 -2.647 2.156
-1.244 2.336 7.800
S Hg Th
1 1 2
Cartesian
0.000 0.000 0.000
-0.499 -1.723 5.814
-0.193 -1.043 2.630
-0.805 -2.404 8.998

[5]
ThTl2HgS4, optimized geometry, DFT GGA-PBE; raw formation energy = -6.9 eV per formula unit; calculated volume = 220.9 Å³/cell; theoretical density = 7.29 g/cm3
1.0
-0.478 2.919 -2.852
0.222 -5.592 -5.761
-6.579 -2.395 -1.348
Th Tl Hg S
1 2 1 4
Cartesian
-3.178 -3.993 -3.555
-6.579 -2.395 -1.348
-3.528 0.262 -2.100
-0.128 -1.336 -4.306
-4.899 -5.707 -5.020
-1.936 0.639 -4.942
-1.973 -3.239 -5.945
-4.862 -1.829 -4.017

[6]
Ti5HgS8, optimized geometry, DFT GGA-PBE; raw formation energy = -17.8 eV per formula unit; calculated volume = 266.7 Å³/cell; theoretical density = 4.34 g/cm3
1.0
-2.847 1.789 -0.484
-4.082 -4.720 6.560
5.114 6.112 4.438
Ti Hg S
5 1 8
Cartesian
-0.501 1.020 6.717
-1.315 2.161 3.798
2.471 4.704 2.853
-4.287 -1.522 7.662
0.000 0.000 0.000
1.649 4.646 7.472
1.106 2.621 3.180
-2.922 0.561 7.335
-0.810 -0.039 4.616
-1.006 3.221 5.898
-2.755 -2.696 6.237
0.939 5.878 4.278
-0.282 1.995 9.026
-1.534 1.187 1.489

[7]
TiHgS2, optimized geometry, DFT GGA-PBE; raw formation energy = -0.6 eV per formula unit; calculated volume = 142.3 Å³/cell; theoretical density = 7.30 g/cm3
1.0
-1.164 0.694 -6.383
-1.838 -6.252 -0.345
-4.651 -1.890 -2.693
S Hg Ti
4 2 2
Cartesian
-1.391 -1.150 -5.005
-1.611 -4.407 -1.723
-0.737 -1.254 -1.800
-2.265 -4.303 -4.928
-3.658 -1.987 -6.220
-3.995 -5.460 -3.201
-4.577 -5.113 -6.392
-3.076 -2.334 -3.028

[8]
TiHgS2, optimized geometry, DFT GGA-PBE; raw formation energy = -3.0 eV per formula unit; calculated volume = 1031.3 Å³/cell; theoretical density = 4.03 g/cm3
1.0
-8.022 -6.249 -17.775
4.400 -5.428 -2.414
-2.742 -4.523 5.165
S Hg Ti
16 8 8
Cartesian
-4.998 -12.541 -15.036
-5.584 -5.538 -9.221
-1.366 -3.659 0.011
-0.780 -10.661 -5.804
-5.686 -6.555 -12.839
-4.896 -11.524 -11.418
-0.678 -9.644 -2.187
-1.468 -4.675 -3.607
-3.425 -8.266 -10.465
-3.587 -10.260 -17.582
-2.939 -7.933 -4.560
-2.777 -5.939 2.557
-7.072 -8.841 -10.226
0.708 -7.358 -4.799
-3.510 -9.239 -14.030
-2.854 -6.960 -0.995
-2.065 -5.897 -7.602
-0.076 -8.455 1.817
-4.299 -10.303 -7.423
-6.289 -7.744 -16.842
0.190 -8.589 -8.763
1.240 -6.217 -0.811
-6.555 -7.610 -6.262
-7.604 -9.983 -14.214
-1.670 -2.946 -2.141
-0.886 -8.914 -4.332
-4.695 -13.254 -12.884
-5.478 -7.285 -10.693
-3.112 -6.170 -3.113
-3.025 -5.181 0.414
-3.253 -10.030 -11.912
-3.340 -11.019 -15.439

[9]
TiHgS2, optimized geometry, DFT GGA-PBE; raw formation energy = -2.9 eV per formula unit; calculated volume = 413.0 Å³/cell; theoretical density = 5.03 g/cm3
1.0
-0.001 7.286 0.034
-2.188 0.046 -9.849
-5.484 -0.007 1.218
S Hg Ti
8 4 4
Cartesian
-2.163 1.855 -7.263
-3.812 5.473 -1.710
-3.812 1.830 -1.730
-2.163 5.498 -7.243
-5.292 7.321 -8.041
-0.820 0.006 -0.902
-1.456 3.663 -3.742
-4.657 3.665 -5.200
-1.257 0.023 -4.729
-4.067 7.306 -4.389
-5.093 3.684 -9.027
-0.231 3.644 -0.090
-1.987 7.326 -8.622
-3.064 0.003 -0.557
-3.635 3.658 -3.105
-1.417 3.671 -6.073

[10]
TiHgS2, optimized geometry, DFT GGA-PBE; raw formation energy = -3.3 eV per formula unit; calculated volume = 751.3 Å³/cell; theoretical density = 5.53 g/cm3
1.0
23.245 0.000 1.327
4.081 3.678 -4.161
-4.081 3.678 4.161
S Hg Ti
16 8 8
Cartesian
2.478 5.131 -0.238
9.144 1.453 0.901
20.767 2.224 1.565
14.101 5.902 0.425
17.231 2.112 0.929
17.637 5.790 1.061
6.015 5.243 0.397
5.608 1.565 0.266
11.237 3.336 -1.205
4.466 3.336 -2.293
12.008 4.019 2.532
18.779 4.019 3.619
15.394 3.932 3.076
7.852 3.423 -1.749
19.474 3.760 -1.086
3.771 3.595 2.412
2.105 1.633 -0.229
9.517 5.311 0.892
21.140 5.722 1.555
13.728 2.044 0.435
7.531 3.410 3.071
0.011 3.410 1.753
15.714 3.945 -1.745
23.234 3.945 -0.426
9.460 1.854 -1.421
2.162 5.532 2.085
13.785 5.501 2.748
21.083 1.823 -0.758
11.405 3.743 -3.500
4.298 3.743 0.003
11.840 3.612 4.827
18.947 3.612 1.324

[11]
TiHgS2, optimized geometry, DFT GGA-PBE; raw formation energy = -1.4 eV per formula unit; calculated volume = 186.3 Å³/cell; theoretical density = 5.57 g/cm3
1.0
-6.864 -1.906 -8.287
5.917 -1.597 9.047
-3.562 1.527 2.599
S Hg Ti
4 2 2
Cartesian
2.865 -1.267 6.766
-7.374 -0.709 -3.406
-7.088 -1.509 -6.734
2.580 -0.468 10.094
0.955 -1.314 4.175
-5.464 -0.662 -0.815
4.241 -1.234 8.631
-8.750 -0.742 -5.271

[12]
Ti2HgS, optimized geometry, DFT GGA-PBE; raw formation energy = -0.1 eV per formula unit; energy above the lowest structure with this stoichiometry = 0.691 eV per atom; calculated volume = 186.9 Å³/cell; theoretical density = 5.84 g/cm3
1.0
5.351 0.000 0.000
0.000 5.351 0.000
2.675 2.675 6.526
S Hg Ti
2 2 4
Cartesian
2.675 2.675 0.000
2.675 5.351 3.263
0.000 0.000 0.000
5.351 2.675 3.263
3.620 1.338 1.632
1.731 4.013 1.632
4.013 4.406 4.895
6.689 6.296 4.895